A relaxed structure of BaLa2Cd. Source: Alexandria, functional PBE.

Results
electronic total energy	-3.10	eV per atom
ΔH_f (0 K)	0.069	eV per atom
energy above the most stable polymorph in this dataset	175	meV per atom

Unit cell a=5.811 b=5.811 c=5.811 alpha=60.00 beta=60.00 gamma=60.00
Sites, in units of the cell vectors:
Ba 0.000 0.000 0.000
La 0.250 0.250 0.250
La 0.750 0.750 0.750
Cd 0.500 0.500 0.500